(1)
! BaScO3 (PBE-GGA, relaxed); values from VASP
! formation energy from raw total energies	-3.1	eV/f.u.
! N(E_F)	4.554	states/eV per cell
&SYSTEM
  ibrav = 0, nat = 5, ntyp = 3
/
ATOMIC_SPECIES
Sc 44.96 Sc.upf
Ba 137.33 Ba.upf
O 16.00 O.upf
CELL_PARAMETERS angstrom
-2.077 -2.720 3.055
3.484 -2.971 -0.277
2.143 2.195 3.411
ATOMIC_POSITIONS crystal
Sc 0.500 0.500 0.500
Ba 0.000 0.000 0.000
O 0.000 0.500 0.000
O 0.000 0.000 0.500
O 0.500 0.000 0.000


(2)
! MoWIN2 (PBE-GGA, relaxed); values from VASP
! formation energy from raw total energies	7.8	eV/f.u.
! relative energy among the computed polymorphs	9.40	kcal/mol of atoms
! N(E_F)	3.509	states/eV per cell
&SYSTEM
  ibrav = 0, nat = 5, ntyp = 4
/
ATOMIC_SPECIES
I 126.90 I.upf
Mo 95.94 Mo.upf
W 183.84 W.upf
N 14.01 N.upf
CELL_PARAMETERS angstrom
-2.902 -1.824 2.020
2.604 -2.721 1.284
1.148 3.272 4.604
ATOMIC_POSITIONS crystal
I 0.000 0.000 0.500
Mo 0.000 0.000 0.000
W 0.500 0.500 0.500
N 0.000 0.500 0.000
N 0.500 0.000 0.000


(3)
! Tl8Zn (PBE-GGA, relaxed); values from VASP
! energy of formation	0.0582	eV/atom
! N(E_F)	4.116	states/eV per cell
&SYSTEM
  ibrav = 0, nat = 9, ntyp = 2
/
ATOMIC_SPECIES
Tl 204.38 Tl.upf
Zn 65.41 Zn.upf
CELL_PARAMETERS angstrom
3.708 0.000 0.966
1.854 8.310 0.483
-0.241 0.000 8.524
ATOMIC_POSITIONS crystal
Tl 0.657 0.000 0.687
Tl 0.343 0.000 0.313
Tl 0.000 0.332 0.668
Tl 0.343 0.313 0.000
Tl 0.668 0.332 0.332
Tl 0.657 0.687 0.000
Tl 0.000 0.668 0.332
Tl 0.332 0.668 0.668
Zn 0.000 0.000 0.000


(4)
! TaGa2Pd (PBE-GGA, relaxed); values from VASP
! energy of formation	0.0043	eV/atom
! N(E_F)	6.276	states/eV per cell
&SYSTEM
  ibrav = 0, nat = 8, ntyp = 3
/
ATOMIC_SPECIES
Ga 69.72 Ga.upf
Pd 106.42 Pd.upf
Ta 180.95 Ta.upf
CELL_PARAMETERS angstrom
7.017 0.000 0.000
0.000 7.017 0.000
3.508 3.508 2.806
ATOMIC_POSITIONS crystal
Ga 0.603 0.125 0.250
Ga 0.147 0.625 0.250
Ga 0.375 0.397 0.750
Ga 0.875 0.853 0.750
Pd 0.500 0.500 0.000
Pd 0.250 0.750 0.500
Ta 0.000 0.000 0.000
Ta 0.750 0.250 0.500